(1)
# LaPr5Mg3

A relaxed LaPr5Mg3 crystal (PBE, Alexandria via LeMat-Bulk).

- symmetry = P6_3/mcm (193)
- formation enthalpy at 0 K (eV per atom) = 0.004
- electronic total energy (eV per cell) = -67.2

Cell: 9.745 9.745 7.183 Å, 90.00 90.00 120.00°
Sites, in units of the cell vectors:
La  0.000  0.000  0.000
La  0.000  0.000  0.500
Pr  0.000  0.333  0.250
Pr  0.000  0.667  0.750
Pr  0.333  0.000  0.250
Pr  0.333  0.333  0.750
Pr  0.333  0.667  0.000
Pr  0.333  0.667  0.500
Pr  0.667  0.000  0.750
Pr  0.667  0.333  0.000
Pr  0.667  0.333  0.500
Pr  0.667  0.667  0.250
Mg  0.000  0.336  0.750
Mg  0.000  0.664  0.250
Mg  0.336  0.000  0.750
Mg  0.336  0.336  0.250
Mg  0.664  0.000  0.250
Mg  0.664  0.664  0.750


(2)
# Sm3HoTl2

A relaxed Sm3HoTl2 crystal (PBE, Alexandria via LeMat-Bulk).

- symmetry = Pmc2_1 (26)
- formation enthalpy at 0 K (eV per atom) = -0.268
- electronic total energy (eV per cell) = -50.2

Cell: 5.184 10.197 6.822 Å, 90.00 90.00 90.00°
Sites, in units of the cell vectors:
Sm  0.000  0.039  0.000
Sm  0.000  0.320  0.364
Sm  0.000  0.680  0.864
Sm  0.000  0.961  0.500
Sm  0.500  0.188  0.729
Sm  0.500  0.812  0.229
Ho  0.500  0.461  0.089
Ho  0.500  0.539  0.589
Tl  0.000  0.365  0.841
Tl  0.000  0.635  0.341
Tl  0.500  0.138  0.254
Tl  0.500  0.862  0.754